No. 1
DFT (PBEsol) results for a geometry-optimized CrCo7 structure.

a = 4.892 Å, b = 4.892 Å, c = 4.892 Å
α = 60.00°, β = 60.00°, γ = 60.00°
Fractional positions:
Cr 0.000 0.000 0.000
Co 0.000 0.000 0.500
Co 0.000 0.500 0.000
Co 0.000 0.500 0.500
Co 0.500 0.000 0.000
Co 0.500 0.000 0.500
Co 0.500 0.500 0.000
Co 0.500 0.500 0.500

Values from the calculation:
Symmetry   Fm-3m, No. 225
Fermi-level density of states   9.7 states/eV per cell
Energy of formation   43.3 kJ/mol of formula units
Crystal system   cubic
Total magnetic moment   7.2 μB/f.u.


No. 2
DFT (PBEsol) results for a geometry-optimized YSb2 structure.

a = 3.313 Å, b = 3.313 Å, c = 14.964 Å
α = 90.00°, β = 90.00°, γ = 90.00°
Fractional positions:
Y 0.000 0.000 0.000
Y 0.500 0.500 0.500
Sb 0.000 0.000 0.351
Sb 0.000 0.000 0.649
Sb 0.500 0.500 0.149
Sb 0.500 0.500 0.851

Values from the calculation:
Symmetry   I4/mmm, No. 139
Fermi-level density of states   3.6 states/eV per cell
Raw formation energy   -452 meV/atom
Crystal system   tetragonal
Total magnetic moment   0.0 μB/f.u.